# LaNiO2, optimized geometry, DFT GGA+U
# V = 16.37 Å³/atom
# size of the total moment = 0.250 μB/atom
# DOS at the Fermi energy = 0.000 states/eV/cell
# E = -6.382 eV per atom
data_LaNiO2
_chemical_formula_sum 'La4 Ni4 O8'
_cell_length_a 7.8554
_cell_length_b 8.9429
_cell_length_c 4.4826
_cell_angle_alpha 90.00
_cell_angle_beta 123.70
_cell_angle_gamma 90.00
_space_group_name_H-M_alt 'C 1 m 1'
_space_group_IT_number 8
loop_
_space_group_symop_operation_xyz
'x,y,z'
'x,-y,z'
'x+1/2,y+1/2,z'
'x+1/2,-y+1/2,z'
loop_
_atom_site_label
_atom_site_type_symbol
_atom_site_fract_x
_atom_site_fract_y
_atom_site_fract_z
La1 La 0.0000 0.2488 0.0000
Ni1 Ni 0.1320 0.5000 0.6282
Ni2 Ni 0.4174 0.5000 0.4986
O1 O 0.1007 0.0000 0.0097
O2 O 0.1363 0.2715 0.6245
O3 O 0.1436 0.5000 0.1123